DFT (PBE) results for a relaxed structure of La2TmUAs4.

Cell: 7.286 4.204 7.337 Å, 90.00 109.18 90.00°
Space group P2/m (No. 10)
Unique sites:
1 La 0.000 0.000 0.000 (multiplicity 1)
2 La 0.500 0.500 0.000 (multiplicity 1)
3 Tm 0.000 0.500 0.500 (multiplicity 1)
4 U 0.500 0.000 0.500 (multiplicity 1)
5 As 0.246 0.000 0.730 (multiplicity 2)
6 As 0.257 0.500 0.270 (multiplicity 2)

Computed properties:
The total energy comes out at -6.853 eV/atom. The formation energy comes out at -128 kJ/mol of atoms. The total magnetization is 2.28 μB/f.u. The density of states at the Fermi level comes out at 8.5 states/eV per cell.